Entry from the Alexandria database: KLa2Mg after structural relaxation (GGA-PBE).

The structure in extended XYZ format:
```
8
Lattice="9.412 0.000 0.000 0.000 9.412 0.000 4.706 4.706 3.390" Properties=species:S:1:pos:R:3 pbc="T T T"
K 0.000 0.000 0.000
K 9.412 4.706 1.695
Mg 4.706 4.706 0.000
Mg 4.706 9.412 1.695
La 6.950 2.353 0.847
La 2.462 7.059 0.847
La 7.059 7.167 2.542
La 11.764 11.656 2.542
```

Computed properties:
The magnetic moment is 0.0 μB/f.u. For the formation energy, the calculation gives 0.47 eV per atom. The crystal system is tetragonal. The mass density comes out at 3.8 g/cm3. Its total energy is -21.4 eV for the cell shown.